1.
VASP calculation (GGA-PBE) on crystalline Tl2Au3Cl6 at its relaxed geometry.

Space-group type   No. 15

Unit cell a=8.0013 b=8.0013 c=15.8497 alpha=104.65 beta=104.65 gamma=59.86
Closest atoms and distances in Å follow each position.
Positions (direct):
Tl (0.1662, 0.6666, 0.9994)  6 Cl 3.07-3.15
Tl (0.3334, 0.8338, 0.5006)  6 Cl 3.07-3.15
Tl (0.6666, 0.1662, 0.4994)  6 Cl 3.07-3.15
Tl (0.8338, 0.3334, 0.0006)  6 Cl 3.07-3.15
Au (0.0772, 0.9228, 0.7500)  2 Cl 2.27
Au (0.2502, 0.4235, 0.2499)  2 Cl 2.27
Au (0.4235, 0.2502, 0.7499)  2 Cl 2.27
Au (0.5765, 0.7498, 0.2501)  2 Cl 2.27
Au (0.7498, 0.5765, 0.7501)  2 Cl 2.27
Au (0.9228, 0.0772, 0.2500)  2 Cl 2.27
Cl (0.0260, 0.8580, 0.6002)  1 Au 2.27
Cl (0.1420, 0.9740, 0.8998)  1 Au 2.27
Cl (0.2165, 0.3586, 0.1001)  1 Au 2.27
Cl (0.2839, 0.4752, 0.3997)  1 Au 2.27
Cl (0.3586, 0.2165, 0.6001)  1 Au 2.27
Cl (0.4752, 0.2839, 0.8997)  1 Au 2.27
Cl (0.5248, 0.7161, 0.1003)  1 Au 2.27
Cl (0.6414, 0.7835, 0.3999)  1 Au 2.27
Cl (0.7161, 0.5248, 0.6003)  1 Au 2.27
Cl (0.7835, 0.6414, 0.8999)  1 Au 2.27
Cl (0.8580, 0.0260, 0.1002)  1 Au 2.27
Cl (0.9740, 0.1420, 0.3998)  1 Au 2.27


2.
VASP calculation (GGA-PBE) on crystalline Tl2Au2Cl at its relaxed geometry.

Space-group type   No. 139
Offset from the most stable computed form   0.0 meV per atom

Unit cell a=9.2207 b=9.2207 c=9.2207 alpha=155.44 beta=155.44 gamma=35.00
Closest atoms and distances in Å follow each position.
Positions (direct):
Tl (0.1037, 0.1037, 0.0000)  4 Au 3.23, 4 Cl 3.32
Tl (0.8963, 0.8963, 0.0000)  4 Au 3.23, 4 Cl 3.32
Au (0.2500, 0.7500, 0.5000)  4 Au 2.77
Au (0.7500, 0.2500, 0.5000)  4 Au 2.77
Cl (0.5000, 0.5000, 0.0000)  8 Tl 3.32


3.
VASP calculation (GGA-PBE) on crystalline TlAu4Cl at its relaxed geometry.

Space-group type   No. 216

Unit cell a=5.6666 b=5.6666 c=5.6666 alpha=60.00 beta=60.00 gamma=60.00
Closest atoms and distances in Å follow each position.
Positions (direct):
Tl (0.0000, 0.0000, 0.0000)  12 Au 3.32, 4 Cl 3.47
Au (0.1250, 0.6250, 0.6250)  6 Au 2.83
Au (0.6250, 0.1250, 0.6250)  6 Au 2.83
Au (0.6250, 0.6250, 0.1250)  6 Au 2.83
Au (0.6250, 0.6250, 0.6250)  6 Au 2.83
Cl (0.2500, 0.2500, 0.2500)  12 Au 3.32, 4 Tl 3.47


4.
VASP calculation (GGA-PBE) on crystalline TlAu2Cl at its relaxed geometry.

Space-group type   No. 65
Offset from the most stable computed form   313.3 meV per atom

Unit cell a=3.5660 b=3.5660 c=8.1353 alpha=90.00 beta=90.00 gamma=116.14
Closest atoms and distances in Å follow each position.
Positions (direct):
Tl (0.0000, 0.0000, 0.0000)  4 Au 2.80
Au (0.5000, 0.5000, 0.2550)  2 Cl 2.74, 2 Tl 2.80
Au (0.5000, 0.5000, 0.7450)  2 Cl 2.74, 2 Tl 2.80
Cl (0.0000, 0.0000, 0.5000)  4 Au 2.74


5.
VASP calculation (GGA-PBE) on crystalline Tl2Au2Cl at its relaxed geometry.

Space-group type   No. 127
Offset from the most stable computed form   194.0 meV per atom

Unit cell a=8.3501 b=8.3501 c=3.7048 alpha=90.00 beta=90.00 gamma=90.00
Closest atoms and distances in Å follow each position.
Positions (direct):
Tl (0.1928, 0.3072, 0.0000)  6 Au 2.94-3.23, 2 Cl 3.03
Tl (0.3072, 0.8072, 0.0000)  6 Au 2.94-3.23, 2 Cl 3.03
Tl (0.6928, 0.1928, 0.0000)  6 Au 2.94-3.23, 2 Cl 3.03
Tl (0.8072, 0.6928, 0.0000)  6 Au 2.94-3.23, 2 Cl 3.03
Au (0.1142, 0.6142, 0.5000)  1 Au 2.70, 2 Tl 2.94
Au (0.3858, 0.1142, 0.5000)  1 Au 2.70, 2 Tl 2.94
Au (0.6142, 0.8858, 0.5000)  1 Au 2.70, 2 Tl 2.94
Au (0.8858, 0.3858, 0.5000)  1 Au 2.70, 2 Tl 2.94
Cl (0.0000, 0.0000, 0.0000)  4 Tl 3.03
Cl (0.5000, 0.5000, 0.0000)  4 Tl 3.03


6.
VASP calculation (GGA-PBE) on crystalline TlAu2Cl at its relaxed geometry.

Space-group type   No. 8
Offset from the most stable computed form   91.0 meV per atom

Unit cell a=4.2631 b=4.2631 c=7.5882 alpha=108.96 beta=108.96 gamma=53.60
Closest atoms and distances in Å follow each position.
Positions (direct):
Tl (0.0000, 0.0000, 0.0000)  3 Au 2.97, 3 Cl 3.20-3.25
Au (0.5258, 0.5258, 0.4485)  2 Cl 2.69, 3 Au 2.74-2.83
Au (0.7763, 0.7763, 0.2498)  3 Au 2.74-2.83, 3 Tl 2.97
Cl (0.2091, 0.2091, 0.6947)  2 Au 2.69


7.
VASP calculation (GGA-PBE) on crystalline Tl5AuCl8 at its relaxed geometry.

Space-group type   No. 82

Unit cell a=8.5019 b=8.5019 c=8.5019 alpha=113.58 beta=113.58 gamma=101.54
Closest atoms and distances in Å follow each position.
Positions (direct):
Tl (0.0000, 0.0000, 0.0000)  4 Cl 3.14
Tl (0.1207, 0.2893, 0.6323)  3 Cl 2.95-3.13
Tl (0.5116, 0.8793, 0.1686)  3 Cl 2.95-3.13
Tl (0.6570, 0.4884, 0.3677)  3 Cl 2.95-3.13
Tl (0.7107, 0.3430, 0.8314)  3 Cl 2.95-3.13
Au (0.2500, 0.7500, 0.5000)  4 Cl 2.33
Cl (0.0001, 0.7979, 0.3102)  1 Au 2.33
Cl (0.2021, 0.5123, 0.2022)  1 Au 2.33
Cl (0.3101, 0.9999, 0.7978)  1 Au 2.33
Cl (0.4148, 0.1798, 0.3743)  4 Tl 2.95-3.14
Cl (0.4877, 0.6899, 0.6898)  1 Au 2.33
Cl (0.8054, 0.0404, 0.6257)  4 Tl 2.95-3.14
Cl (0.8202, 0.1946, 0.2350)  4 Tl 2.95-3.14
Cl (0.9596, 0.5852, 0.7650)  4 Tl 2.95-3.14


8.
VASP calculation (GGA-PBE) on crystalline Tl4AuCl5 at its relaxed geometry.

Space-group type   No. 79

Unit cell a=7.6852 b=7.6852 c=7.6852 alpha=100.20 beta=100.20 gamma=130.22
Closest atoms and distances in Å follow each position.
Positions (direct):
Tl (0.0902, 0.2986, 0.3887)  6 Cl 3.08-3.44
Tl (0.2986, 0.9098, 0.2084)  6 Cl 3.08-3.44
Tl (0.7014, 0.0902, 0.7916)  6 Cl 3.08-3.44
Tl (0.9098, 0.7014, 0.6113)  6 Cl 3.08-3.44
Au (0.5005, 0.5005, 0.0000)  4 Cl 2.71
Cl (0.2428, 0.5985, 0.8416)  1 Au 2.71
Cl (0.4012, 0.2428, 0.6443)  1 Au 2.71
Cl (0.5985, 0.7569, 0.3557)  1 Au 2.71
Cl (0.7569, 0.4012, 0.1584)  1 Au 2.71
Cl (0.9992, 0.9992, 0.0000)  4 Tl 3.08, 2 Au 3.23-3.24


Computed spin magnetization (Bohr magnetons per cell) in order:
0.0 0.0 0.0 0.0 0.0 0.0 0.0 0.0
Computed energy relative to the elements, uncorrected (eV per atom) in order:
-0.480 -0.343 -0.090 0.126 -0.149 -0.096 -0.807 -0.761